(1)
DFT (PBE) results for Cs2RbCdHg2 after structural relaxation.

Lattice parameters (Å, degrees): 5.167 11.247 10.139 90.00 90.00 90.00
Space group Pmc2_1 (No. 26)
One atom of each set of equivalent atoms:
Cs (0.000, 0.083, 0.000) x2
Cs (0.500, 0.227, 0.345) x2
Rb (0.500, 0.414, 0.897) x2
Cd (0.000, 0.272, 0.648) x2
Hg (0.000, 0.453, 0.164) x2
Hg (0.500, 0.122, 0.706) x2

Summary:
The value obtained for the calculated volume is 49.104 A^3/atom. The calculated formation energy is -0.150 eV per atom. As for the total magnetic moment: 0.0 Bohr magnetons per cell.

=====

(2)
DFT (PBE) results for CsRb2Cd2Hg2 after structural relaxation.

Lattice parameters (Å, degrees): 5.3071 5.3071 40.4353 90.00 90.00 120.00
Space group R-3m (No. 166, hexagonal axes)
One atom of each set of equivalent atoms:
Cs (0.0000, 0.0000, 0.0000) x3
Rb (0.0000, 0.0000, 0.1216) x6
Cd (0.0000, 0.0000, 0.2662) x6
Hg (0.0000, 0.0000, 0.4007) x6

Summary:
The value obtained for the calculated volume is 46.967 A^3/atom. The calculated formation energy is -0.140 eV per atom. As for the total magnetic moment: 0.0 Bohr magnetons per cell.

=====

(3)
DFT (PBE) results for CsRbCd2Hg after structural relaxation.

Lattice parameters (Å, degrees): 4.775 6.031 15.612 90.00 90.00 90.00
Space group Imm2 (No. 44)
One atom of each set of equivalent atoms:
Cs (0.000, 0.000, 0.000) x2
Rb (0.000, 0.500, 0.768) x2
Cd (0.000, 0.000, 0.634) x2
Cd (0.000, 0.500, 0.257) x2
Hg (0.000, 0.000, 0.442) x2

Summary:
The value obtained for the calculated volume is 44.956 A^3/atom. The calculated formation energy is -0.068 eV per atom. As for the energy above the most stable polymorph in this dataset: 0 meV/atom. As for the total magnetic moment: 0.0 Bohr magnetons per cell.

=====

(4)
DFT (PBE) results for Cs4Rb2CdHg2 after structural relaxation.

Lattice parameters (Å, degrees): 7.179 8.931 11.015 93.52 104.63 107.21
Space group P-1 (No. 2)
One atom of each set of equivalent atoms:
Cs (0.013, 0.225, 0.416) x2
Cs (0.199, 0.809, 0.143) x2
Rb (0.487, 0.596, 0.800) x2
Cd (0.500, 0.000, 0.500) x1
Hg (0.406, 0.642, 0.455) x2

Summary:
The value obtained for the calculated volume is 71.740 A^3/atom. The calculated formation energy is -0.099 eV per atom. As for the total magnetic moment: 0.0 Bohr magnetons per cell.

=====

(5)
DFT (PBE) results for CsRbCd2Hg after structural relaxation.

Lattice parameters (Å, degrees): 6.002 6.002 6.654 90.00 90.00 90.00
Space group P4/mmm (No. 123)
One atom of each set of equivalent atoms:
Cs (0.000, 0.000, 0.000) x1
Rb (0.500, 0.500, 0.000) x1
Cd (0.000, 0.500, 0.500) x2
Hg (0.000, 0.000, 0.500) x1

Summary:
The value obtained for the calculated volume is 47.944 A^3/atom. The calculated formation energy is 0.041 eV per atom. As for the energy above the most stable polymorph in this dataset: 109 meV/atom. As for the total magnetic moment: 0.0 Bohr magnetons per cell.

=====

(6)
DFT (PBE) results for Cs2Rb4CdHg2 after structural relaxation.

Lattice parameters (Å, degrees): 6.962 8.566 10.894 97.78 103.15 101.43
Space group P-1 (No. 2)
One atom of each set of equivalent atoms:
Cs (0.001, 0.322, 0.185) x2
Rb (0.359, 0.226, 0.840) x2
Rb (0.450, 0.764, 0.547) x2
Cd (0.000, 0.000, 0.500) x1
Hg (0.113, 0.369, 0.555) x2

Summary:
The value obtained for the calculated volume is 67.657 A^3/atom. The calculated formation energy is -0.091 eV per atom. As for the total magnetic moment: 0.0 Bohr magnetons per cell.

=====

(7)
DFT (PBE) results for CsCdRe2Hg after structural relaxation.

Lattice parameters (Å, degrees): 5.361 5.361 6.335 90.00 90.00 90.00
Space group P4/mmm (No. 123)
One atom of each set of equivalent atoms:
Cs (0.000, 0.000, 0.000) x1
Cd (0.500, 0.500, 0.500) x1
Re (0.000, 0.500, 0.000) x2
Hg (0.000, 0.000, 0.500) x1

Summary:
The value obtained for the calculated volume is 36.419 A^3/atom. The calculated formation energy is 3.118 eV per atom. As for the total magnetic moment: 6.4 Bohr magnetons per cell.

=====

(8)
DFT (PBE) results for CsCd2HgRh after structural relaxation.

Lattice parameters (Å, degrees): 5.346 5.346 5.439 90.00 90.00 90.00
Space group P4/mmm (No. 123)
One atom of each set of equivalent atoms:
Cs (0.000, 0.000, 0.000) x1
Cd (0.000, 0.500, 0.500) x2
Hg (0.500, 0.500, 0.000) x1
Rh (0.500, 0.500, 0.500) x1

Summary:
The value obtained for the calculated volume is 31.092 A^3/atom. The calculated formation energy is -0.121 eV per atom. As for the total magnetic moment: 0.0 Bohr magnetons per cell.

=====

(9)
DFT (PBE) results for CsCdHg2Rh after structural relaxation.

Lattice parameters (Å, degrees): 5.422 5.422 5.328 90.00 90.00 90.00
Space group P4/mmm (No. 123)
One atom of each set of equivalent atoms:
Cs (0.000, 0.000, 0.000) x1
Cd (0.500, 0.500, 0.000) x1
Hg (0.000, 0.500, 0.500) x2
Rh (0.500, 0.500, 0.500) x1

Summary:
The value obtained for the calculated volume is 31.327 A^3/atom. The calculated formation energy is -0.152 eV per atom. As for the total magnetic moment: 0.0 Bohr magnetons per cell.

=====

(10)
DFT (PBE) results for CsCdHgS2 after structural relaxation.

Lattice parameters (Å, degrees): 7.725 5.658 7.173 90.00 96.71 90.00
Space group P2/c (No. 13)
One atom of each set of equivalent atoms:
Cs (0.000, 0.229, 0.250) x2
Cd (0.500, 0.432, 0.250) x2
Hg (0.500, 0.000, 0.000) x2
S (0.275, 0.276, 0.867) x4

Summary:
The value obtained for the calculated volume is 31.141 A^3/atom. As for the uncorrected formation energy: -0.456 eV per atom. As for the total magnetic moment: 0.0 Bohr magnetons per cell.

=====

(11)
DFT (PBE) results for Cs2CdHg2S4 after structural relaxation.

Lattice parameters (Å, degrees): 17.520 4.107 7.864 90.00 106.88 90.00
Space group C2/m (No. 12)
One atom of each set of equivalent atoms:
Cs (0.125, 0.000, 0.040) x4
Cd (0.000, 0.000, 0.500) x2
Hg (0.165, 0.500, 0.510) x4
S (0.024, 0.500, 0.295) x4
S (0.222, 0.000, 0.698) x4

Summary:
The value obtained for the calculated volume is 30.080 A^3/atom. As for the uncorrected formation energy: -0.603 eV per atom. As for the total magnetic moment: 0.0 Bohr magnetons per cell.

=====

(12)
DFT (PBE) results for CsCdHg2Sb after structural relaxation.

Lattice parameters (Å, degrees): 5.880 5.880 5.644 90.00 90.00 90.00
Space group P4/mmm (No. 123)
One atom of each set of equivalent atoms:
Cs (0.000, 0.000, 0.000) x1
Cd (0.500, 0.500, 0.500) x1
Hg (0.000, 0.500, 0.500) x2
Sb (0.500, 0.500, 0.000) x1

Summary:
The value obtained for the calculated volume is 39.033 A^3/atom. As for the energy above the most stable polymorph in this dataset: 122 meV/atom. As for the uncorrected formation energy: -0.073 eV per atom. As for the total magnetic moment: 0.0 Bohr magnetons per cell.

=====

> Number 5 is which compound?

CsRbCd2Hg